A plane-wave DFT calculation with GGA-PBEsol was carried out for a relaxed Sc2CdAg crystal.

Lattice parameters (Å, degrees): 3.5242 3.5242 6.5180 90.00 90.00 90.00
Space group P4mm (No. 99)
One atom of each set of equivalent atoms:
Sc 0.0000 0.0000 0.0000 [1 per cell]
Sc 0.5000 0.5000 0.2903 [1 per cell]
Cd 0.5000 0.5000 0.7567 [1 per cell]
Ag 0.0000 0.0000 0.5189 [1 per cell]

Values from the calculation:
formation energy	-0.86	eV/f.u.
magnetic moment	0.274	μB/atom
E	-4.645	eV/atom

***

A plane-wave DFT calculation with GGA-PBEsol was carried out for a relaxed Ca2IrC crystal.

Lattice parameters (Å, degrees): 9.8654 9.8654 3.8455 90.00 90.00 90.00
Space group I-42d (No. 122)
One atom of each set of equivalent atoms:
Ca 0.0588 0.2500 0.1250 [8 per cell]
Ir 0.0000 0.0000 0.5000 [4 per cell]
C 0.0000 0.0000 0.0000 [4 per cell]

Values from the calculation:
formation energy	-0.82	eV/f.u.
magnetic moment	0.001	μB/atom
E	-6.139	eV/atom

***

A plane-wave DFT calculation with GGA-PBEsol was carried out for a relaxed SrHfGe2Ir crystal.

Lattice parameters (Å, degrees): 4.8459 4.8459 5.0924 90.00 90.00 90.00
Space group P4/mmm (No. 123)
One atom of each set of equivalent atoms:
Sr 0.0000 0.0000 0.0000 [1 per cell]
Hf 0.5000 0.5000 0.0000 [1 per cell]
Ge 0.0000 0.5000 0.5000 [2 per cell]
Ir 0.5000 0.5000 0.5000 [1 per cell]

Values from the calculation:
formation energy	0.73	eV/f.u.
magnetic moment	0.148	μB/atom
E	-6.262	eV/atom

***

A plane-wave DFT calculation with GGA-PBEsol was carried out for a relaxed La2YTeBr crystal.

Lattice parameters (Å, degrees): 5.8789 5.8789 5.4785 90.00 90.00 90.00
Space group P4/mmm (No. 123)
One atom of each set of equivalent atoms:
La 0.0000 0.5000 0.0000 [2 per cell]
Y 0.0000 0.0000 0.0000 [1 per cell]
Te 0.0000 0.0000 0.5000 [1 per cell]
Br 0.5000 0.5000 0.5000 [1 per cell]

Values from the calculation:
formation energy without anion corrections	-0.5	eV per formula unit
magnetic moment	0.001	μB/atom
E	-4.684	eV/atom

***

A plane-wave DFT calculation with GGA-PBEsol was carried out for a relaxed ZnCdRe3 crystal.

Lattice parameters (Å, degrees): 4.4759 4.4759 4.4759 90.00 90.00 90.00
Space group Pm-3m (No. 221)
One atom of each set of equivalent atoms:
Zn 0.0000 0.0000 0.0000 [1 per cell]
Cd 0.5000 0.5000 0.5000 [1 per cell]
Re 0.0000 0.0000 0.5000 [3 per cell]

Values from the calculation:
formation energy	10.62	eV/f.u.
magnetic moment	0.000	μB/atom
E	-6.432	eV/atom

***

A plane-wave DFT calculation with GGA-PBEsol was carried out for a relaxed CdP3Pb crystal.

Lattice parameters (Å, degrees): 4.9242 4.9242 4.9242 90.00 90.00 90.00
Space group Pm-3m (No. 221)
One atom of each set of equivalent atoms:
Cd 0.0000 0.0000 0.0000 [1 per cell]
P 0.0000 0.0000 0.5000 [3 per cell]
Pb 0.5000 0.5000 0.5000 [1 per cell]

Values from the calculation:
formation energy	4.97	eV/f.u.
magnetic moment	0.000	μB/atom
E	-3.519	eV/atom

***

Q: The highest E belongs to which entry?
A: CdP3Pb

***

Q: Which value of magnetic moment does entry 3 give?
A: 0.148 μB/atom

***

Q: Look up the E of the third one.
A: -6.262 eV/atom